No. 1
Here is a geometry-optimized Tb8Ge5Sb structure from Alexandria via LeMat-Bulk. Energies are from PBE.

```
Tb8Ge5Sb
1.0
7.309 0.000 -2.577
-3.617 6.348 -2.587
-0.075 0.000 7.750
Tb Ge Sb
8 5 1
Direct
0.258 0.243 0.362 Tb
0.119 0.757 0.015 Tb
0.638 0.896 0.881 Tb
0.498 0.622 0.250 Tb
0.124 0.752 0.502 Tb
0.750 0.248 0.372 Tb
0.628 0.378 0.876 Tb
0.985 0.104 0.742 Tb
0.874 0.878 0.252 Ge
0.004 0.378 0.126 Ge
0.373 0.122 0.996 Ge
0.748 0.622 0.627 Ge
0.500 0.000 0.500 Ge
0.250 0.500 0.750 Sb
```

Summary:
**DFT total energy**: -5.471 eV per atom
**SG**: I-4, No. 82
**V**: 25.6 A^3/atom
**Energy relative to the elements, uncorrected**: -0.88 eV/atom
**Size of the total moment**: 0.0 μB per formula unit

---

No. 2
Here is a geometry-optimized Ba2HgBiP structure from Alexandria via LeMat-Bulk. Energies are from PBE.

```
Ba2HgBiP
1.0
-1.456 -2.639 -3.754
5.727 -5.581 1.701
-8.269 -2.665 5.082
Hg Ba Bi P
2 4 2 2
Direct
0.750 0.483 0.260 Hg
0.250 0.517 0.740 Hg
0.750 0.776 0.027 Ba
0.750 0.805 0.609 Ba
0.250 0.224 0.973 Ba
0.250 0.195 0.391 Ba
0.750 0.297 0.697 Bi
0.250 0.703 0.303 Bi
0.250 0.837 0.826 P
0.750 0.163 0.174 P
```

Summary:
**DFT total energy**: -3.472 eV per atom
**SG**: P2_1/m, No. 11
**V**: 37.9 A^3/atom
**Size of the total moment**: 0.0 μB per formula unit
**DFT formation energy**: -0.78 eV/atom

---

No. 3
Here is a geometry-optimized KLi2P structure from Alexandria via LeMat-Bulk. Energies are from PBE.

```
KLi2P
1.0
-0.490 -2.543 3.082
0.866 -3.537 -2.780
4.464 0.325 0.978
Li P K
2 1 1
Direct
0.000 0.500 0.500 Li
0.000 0.000 0.000 Li
0.500 0.500 0.000 P
0.500 0.000 0.500 K
```

Summary:
**DFT total energy**: -2.620 eV per atom
**SG**: P4/mmm, No. 123
**V**: 21.1 A^3/atom
**Size of the total moment**: 0.0 μB per formula unit
**DFT formation energy**: -0.04 eV/atom

---

No. 4
Here is a geometry-optimized HfTa5Nb4 structure from Alexandria via LeMat-Bulk. Energies are from PBE.

```
HfTa5Nb4
1.0
3.331 0.000 0.000
0.000 3.331 0.000
0.000 0.000 16.784
Nb Ta Hf
4 5 1
Direct
0.000 0.000 0.796 Nb
0.000 0.000 0.598 Nb
0.000 0.000 0.402 Nb
0.000 0.000 0.204 Nb
0.500 0.500 0.111 Ta
0.500 0.500 0.500 Ta
0.500 0.500 0.303 Ta
0.500 0.500 0.889 Ta
0.500 0.500 0.697 Ta
0.000 0.000 0.000 Hf
```

Summary:
**DFT total energy**: -10.930 eV per atom
**SG**: P4/mmm, No. 123
**V**: 18.6 A^3/atom
**Size of the total moment**: 0.0 μB per formula unit
**DFT formation energy**: 0.02 eV/atom

---

No. 5
Here is a geometry-optimized CuPbBr2 structure from Alexandria via LeMat-Bulk. Energies are from PBE.

```
CuPbBr2
1.0
0.262 -4.561 5.068
5.432 1.752 3.738
-0.353 1.014 3.442
Cu Br Pb
1 2 1
Direct
0.500 0.000 0.500 Cu
0.500 0.500 0.000 Br
0.000 0.000 0.000 Br
0.000 0.500 0.500 Pb
```

Summary:
**DFT total energy**: -2.847 eV per atom
**SG**: C2/m, No. 12
**V**: 30.7 A^3/atom
**Energy relative to the elements, uncorrected**: -0.06 eV/atom
**Size of the total moment**: 0.0 μB per formula unit

---

No. 6
Here is a geometry-optimized BH2Ru2 structure from Alexandria via LeMat-Bulk. Energies are from PBE.

```
BH2Ru2
1.0
5.529 0.000 0.000
0.000 5.529 0.000
0.000 0.000 3.131
Ru B H
4 2 4
Direct
0.844 0.656 0.000 Ru
0.156 0.344 0.000 Ru
0.344 0.844 0.000 Ru
0.656 0.156 0.000 Ru
0.500 0.500 0.000 B
0.000 0.000 0.000 B
0.249 0.749 0.500 H
0.749 0.751 0.500 H
0.751 0.251 0.500 H
0.251 0.249 0.500 H
```

Summary:
**DFT total energy**: -6.021 eV per atom
**SG**: P4/mbm, No. 127
**V**: 9.6 A^3/atom
**Size of the total moment**: 0.0 μB per formula unit

---

No. 7
Here is a geometry-optimized LiHgBi3 structure from Alexandria via LeMat-Bulk. Energies are from PBE.

```
LiHgBi3
1.0
5.244 0.000 0.000
0.000 5.244 0.000
0.000 0.000 5.244
Bi Li Hg
3 1 1
Direct
0.000 0.000 0.500 Bi
0.500 0.000 0.000 Bi
0.000 0.500 0.000 Bi
0.000 0.000 0.000 Li
0.500 0.500 0.500 Hg
```

Summary:
**DFT total energy**: -2.560 eV per atom
**SG**: Pm-3m, No. 221
**V**: 28.8 A^3/atom
**Size of the total moment**: 0.0 μB per formula unit
**DFT formation energy**: 0.21 eV/atom

---

No. 8
Here is a geometry-optimized Cs2NbHgSe4 structure from Alexandria via LeMat-Bulk. Energies are from PBE.

```
Cs2NbHgSe4
1.0
7.003 0.000 0.000
3.501 7.183 0.000
3.501 0.000 12.590
Se Hg Cs Nb
8 2 4 2
Direct
0.862 0.807 0.891 Se
0.190 0.307 0.391 Se
0.331 0.807 0.109 Se
0.503 0.307 0.609 Se
0.419 0.693 0.391 Se
0.560 0.193 0.109 Se
0.888 0.693 0.609 Se
0.247 0.193 0.891 Se
0.750 0.500 0.500 Hg
0.000 0.000 0.000 Hg
0.179 0.000 0.643 Cs
0.929 0.500 0.143 Cs
0.821 0.000 0.357 Cs
0.571 0.500 0.857 Cs
0.250 0.500 0.500 Nb
0.500 0.000 0.000 Nb
```

Summary:
**DFT total energy**: -4.086 eV per atom
**SG**: Fddd, No. 70
**V**: 39.6 A^3/atom
**Energy relative to the elements, uncorrected**: -0.83 eV/atom
**Size of the total moment**: 0.0 μB per formula unit

---

No. 9
Here is a geometry-optimized LaHoAu structure from Alexandria via LeMat-Bulk. Energies are from PBE.

```
LaHoAu
1.0
-0.057 -2.742 -2.437
0.852 -2.381 2.658
-6.600 1.649 1.061
La Ho Au
1 1 1
Direct
0.015 0.015 0.031 La
0.301 0.301 0.603 Ho
0.683 0.683 0.366 Au
```

Summary:
**DFT total energy**: -4.786 eV per atom
**SG**: I4mm, No. 107
**V**: 28.6 A^3/atom
**Size of the total moment**: 0.5 μB per formula unit
**DFT formation energy**: -0.53 eV/atom

---

No. 10
Here is a geometry-optimized PmPr4Ho10 structure from Alexandria via LeMat-Bulk. Energies are from PBE.

```
PmPr4Ho10
1.0
9.741 0.000 4.398
4.870 6.881 2.199
2.038 0.000 8.471
Ho Pr Pm
10 4 1
Direct
0.774 0.676 0.096 Ho
0.226 0.324 0.904 Ho
0.550 0.904 0.676 Ho
0.750 0.500 0.500 Ho
0.455 0.676 0.096 Ho
0.545 0.324 0.904 Ho
0.869 0.904 0.676 Ho
0.450 0.096 0.324 Ho
0.250 0.500 0.500 Ho
0.131 0.096 0.324 Ho
0.067 0.599 0.268 Pr
0.334 0.732 0.599 Pr
0.666 0.268 0.401 Pr
0.933 0.401 0.732 Pr
0.000 0.000 0.000 Pm
```

Summary:
**DFT total energy**: -4.294 eV per atom
**SG**: I4/m, No. 87
**V**: 33.7 A^3/atom
**Size of the total moment**: 0.0 μB per formula unit
**DFT formation energy**: 0.35 eV/atom

---

No. 11
Here is a geometry-optimized PaSe2Br structure from Alexandria via LeMat-Bulk. Energies are from PBE.

```
PaSe2Br
1.0
-1.707 -2.776 -3.050
2.332 -0.984 -3.676
3.078 -6.587 1.006
Se Br Pa
2 1 1
Direct
0.277 0.277 0.170 Se
0.723 0.723 0.830 Se
0.500 0.500 0.500 Br
0.000 0.000 0.000 Pa
```

Summary:
**DFT total energy**: -5.482 eV per atom
**SG**: R-3m, No. 166
**V**: 29.6 A^3/atom
**Energy relative to the elements, uncorrected**: -0.95 eV/atom
**Size of the total moment**: 0.0 μB per formula unit

---

No. 12
Here is a geometry-optimized SrInFe2 structure from Alexandria via LeMat-Bulk. Energies are from PBE.

```
SrInFe2
1.0
-2.584 -3.881 0.154
1.048 -0.816 -2.967
4.983 -3.247 1.787
Fe In Sr
2 1 1
Direct
0.000 0.022 0.109 Fe
0.000 0.478 0.391 Fe
0.500 0.250 0.250 In
0.500 0.750 0.750 Sr
```

Summary:
**DFT total energy**: -4.861 eV per atom
**SG**: P2/m, No. 10
**V**: 23.4 A^3/atom
**Size of the total moment**: 5.1 μB per formula unit
**DFT formation energy**: 0.48 eV/atom

---

No. 13
Here is a geometry-optimized Tb8Tm2Pb structure from Alexandria via LeMat-Bulk. Energies are from PBE.

```
Tb8Tm2Pb
1.0
-5.039 -2.352 -0.196
2.396 -5.356 2.657
0.866 3.953 9.260
Tm Tb Pb
2 8 1
Direct
0.243 0.661 0.486 Tm
0.757 0.339 0.514 Tm
0.045 0.732 0.090 Tb
0.420 0.597 0.841 Tb
0.155 0.200 0.311 Tb
0.664 0.878 0.328 Tb
0.955 0.268 0.910 Tb
0.845 0.800 0.689 Tb
0.580 0.403 0.159 Tb
0.336 0.122 0.672 Tb
0.500 0.000 0.000 Pb
```

Summary:
**DFT total energy**: -4.569 eV per atom
**SG**: C2/m, No. 12
**V**: 31.5 A^3/atom
**Size of the total moment**: 0.0 μB per formula unit
**DFT formation energy**: -0.05 eV/atom

---

No. 14
Here is a geometry-optimized LiHfPt structure from Alexandria via LeMat-Bulk. Energies are from PBE.

```
LiHfPt
1.0
-3.003 0.184 -1.741
-1.528 -1.964 2.428
1.232 4.350 1.805
Pt Hf Li
1 1 1
Direct
0.945 0.945 0.890 Pt
0.295 0.295 0.590 Hf
0.610 0.610 0.220 Li
```

Summary:
**DFT total energy**: -6.612 eV per atom
**SG**: I4mm, No. 107
**V**: 16.9 A^3/atom
**Size of the total moment**: 0.0 μB per formula unit
**DFT formation energy**: -0.64 eV/atom

---

No. 15
Here is a geometry-optimized Cu2PBr structure from Alexandria via LeMat-Bulk. Energies are from PBE.

```
Cu2PBr
1.0
3.292 -0.128 0.000
-0.314 3.279 0.000
0.000 0.000 7.264
Cu Br P
2 1 1
Direct
0.000 0.000 0.045 Cu
0.500 0.500 0.243 Cu
0.500 0.500 0.852 Br
0.000 0.000 0.360 P
```

Summary:
**DFT total energy**: -3.704 eV per atom
**SG**: Cmm2, No. 35
**V**: 19.5 A^3/atom
**Energy relative to the elements, uncorrected**: 0.11 eV/atom
**Size of the total moment**: 0.0 μB per formula unit

---

No. 16
Here is a geometry-optimized CuSi2Ru structure from Alexandria via LeMat-Bulk. Energies are from PBE.

```
CuSi2Ru
1.0
-0.301 3.601 6.974
-1.767 1.251 7.550
1.059 1.225 7.686
Ru Cu Si
1 1 2
Direct
0.250 0.250 0.250 Ru
0.750 0.750 0.750 Cu
0.501 0.501 0.501 Si
0.999 0.999 0.999 Si
```

Summary:
**DFT total energy**: -6.212 eV per atom
**SG**: R-3m, No. 166
**V**: 13.3 A^3/atom
**Energy relative to the elements, uncorrected**: -0.16 eV/atom
**Size of the total moment**: 0.0 μB per formula unit

---

No. 17
Here is a geometry-optimized Dy2Ho7 structure from Alexandria via LeMat-Bulk. Energies are from PBE.

```
Dy2Ho7
1.0
-5.368 -2.881 0.231
5.182 -3.155 0.605
-0.271 1.190 8.531
Dy Ho
2 7
Direct
0.333 0.667 0.000 Dy
0.667 0.333 0.000 Dy
0.333 0.333 0.334 Ho
0.333 0.000 0.666 Ho
0.000 0.333 0.666 Ho
0.000 0.667 0.334 Ho
0.667 0.667 0.666 Ho
0.667 0.000 0.334 Ho
0.000 0.000 0.000 Ho
```

Summary:
**DFT total energy**: -4.560 eV per atom
**SG**: P-31m, No. 162
**V**: 30.8 A^3/atom
**Size of the total moment**: 0.0 μB per formula unit
**DFT formation energy**: 0.02 eV/atom

---

No. 18
Here is a geometry-optimized CsIn3Sb3 structure from Alexandria via LeMat-Bulk. Energies are from PBE.

```
CsIn3Sb3
1.0
-4.240 -2.415 6.663
4.966 -6.551 0.786
5.055 4.410 4.816
Sb In Cs
6 6 2
Direct
0.500 0.000 0.250 Sb
0.000 0.750 0.500 Sb
0.000 0.250 0.500 Sb
0.250 0.500 0.000 Sb
0.750 0.500 0.000 Sb
0.500 0.000 0.750 Sb
0.500 0.250 0.000 In
0.000 0.500 0.750 In
0.000 0.500 0.250 In
0.250 0.000 0.500 In
0.500 0.750 0.000 In
0.750 0.000 0.500 In
0.500 0.500 0.500 Cs
0.000 0.000 0.000 Cs
```

Summary:
**DFT total energy**: -3.242 eV per atom
**SG**: Pm-3n, No. 223
**V**: 40.2 A^3/atom
**Energy relative to the elements, uncorrected**: -0.18 eV/atom
**Size of the total moment**: 0.0 μB per formula unit

---

No. 19
Here is a geometry-optimized Ba2BiSe4 structure from Alexandria via LeMat-Bulk. Energies are from PBE.

```
Ba2BiSe4
1.0
-0.039 -2.084 4.088
6.760 -4.325 -2.140
7.275 9.053 4.685
Se Bi Ba
8 2 4
Direct
0.500 0.782 0.559 Se
0.500 0.282 0.941 Se
0.000 0.133 0.711 Se
0.000 0.867 0.289 Se
0.500 0.718 0.059 Se
0.500 0.218 0.441 Se
0.000 0.633 0.789 Se
0.000 0.367 0.211 Se
0.000 0.500 0.000 Bi
0.000 0.000 0.500 Bi
0.500 0.092 0.180 Ba
0.500 0.908 0.820 Ba
0.500 0.592 0.320 Ba
0.500 0.408 0.680 Ba
```

Summary:
**DFT total energy**: -4.328 eV per atom
**SG**: Pbam, No. 55
**V**: 34.1 A^3/atom
**Energy relative to the elements, uncorrected**: -1.23 eV/atom
**Size of the total moment**: 0.0 μB per formula unit

---

No. 20
Here is a geometry-optimized Sr2AcCoH8 structure from Alexandria via LeMat-Bulk. Energies are from PBE.

```
Sr2AcCoH8
1.0
5.125 0.000 0.000
-2.563 4.439 0.000
0.000 0.000 6.754
Co H Ac Sr
1 8 1 2
Direct
0.000 0.000 0.000 Co
0.703 0.852 0.159 H
0.297 0.148 0.841 H
0.667 0.333 0.480 H
0.852 0.703 0.841 H
0.148 0.297 0.159 H
0.148 0.852 0.159 H
0.852 0.148 0.841 H
0.333 0.667 0.520 H
0.000 0.000 0.500 Ac
0.333 0.667 0.872 Sr
0.667 0.333 0.128 Sr
```

Summary:
**DFT total energy**: -3.829 eV per atom
**SG**: P-3m1, No. 164
**V**: 12.8 A^3/atom
**Size of the total moment**: 2.0 μB per formula unit